1.
The following is a PBE calculation of a geometry-optimized YHoZnTe3 structure, from OQMD via LeMat-Bulk.

Properties
The crystal system is orthorhombic. The calculation puts the volume at 27.3 Å³ per atom. As for the electronic total energy: -4.5682 eV/atom.

a = 7.8323 Å, b = 7.8323 Å, c = 10.5071 Å
α = 90.00°, β = 90.00°, γ = 149.45°
With the nearest neighbours (Å) after each atom.
Fractional coordinates of all 12 atoms:
Y1 0.2239 0.7761 0.7500  6 Te 3.14-3.17
Y2 0.7761 0.2239 0.2500  6 Te 3.14-3.17
Ho1 0.0000 0.0000 0.0000  6 Te 3.12-3.17, 4 Zn 3.36
Ho2 0.0000 0.0000 0.5000  6 Te 3.12-3.17, 4 Zn 3.36
Zn1 0.4786 0.5214 0.2500  4 Te 2.86-2.94
Zn2 0.5214 0.4786 0.7500  4 Te 2.86-2.94
Te1 0.1168 0.8832 0.2500  2 Zn 2.94, 2 Ho 3.17, 2 Y 3.17
Te2 0.3494 0.6506 0.0508  1 Zn 2.86, 2 Ho 3.12, 2 Y 3.14
Te3 0.3494 0.6506 0.4492  1 Zn 2.86, 2 Ho 3.12, 2 Y 3.14
Te4 0.6506 0.3494 0.5508  1 Zn 2.86, 2 Ho 3.12, 2 Y 3.14
Te5 0.6506 0.3494 0.9492  1 Zn 2.86, 2 Ho 3.12, 2 Y 3.14
Te6 0.8832 0.1168 0.7500  2 Zn 2.94, 2 Ho 3.17, 2 Y 3.17

=====

2.
The following is a PBE calculation of a geometry-optimized NbInFeOs structure, from OQMD via LeMat-Bulk.

Properties
The crystal system is cubic. The calculation puts the volume at 15.6 Å³ per atom. As for the electronic total energy: -8.0436 eV/atom.

a = 4.4545 Å, b = 4.4545 Å, c = 4.4545 Å
α = 60.00°, β = 60.00°, γ = 60.00°
With the nearest neighbours (Å) after each atom.
Fractional coordinates of all 4 atoms:
Nb1 0.0000 0.0000 0.0000  4 Fe 2.73, 4 Os 2.73
In1 0.5000 0.5000 0.5000  4 Fe 2.73, 4 Os 2.73
Fe1 0.7500 0.7500 0.7500  4 In 2.73, 4 Nb 2.73
Os1 0.2500 0.2500 0.2500  4 Nb 2.73, 4 In 2.73